[1]
CrCdSn2Ir | PBE-GGA | relaxed

Structure (CIF):
```
data_CrCdSn2Ir
_chemical_formula_sum 'Cr1 Cd1 Sn2 Ir1'
_space_group_name_H-M_alt 'P 1'
_space_group_IT_number 1
_space_group_name_Hall 'P 1'
_cell_length_a 5.301
_cell_length_b 5.301
_cell_length_c 5.027
_cell_angle_alpha 90.00
_cell_angle_beta 90.00
_cell_angle_gamma 90.00
loop_
_atom_site_label
_atom_site_fract_x
_atom_site_fract_y
_atom_site_fract_z
Cr1 0.000 0.000 0.000
Cd1 0.500 0.500 0.500
Sn1 0.000 0.500 0.500
Sn2 0.500 0.000 0.500
Ir1 0.500 0.500 0.000
```

Calculated values
As for the formation energy: 1.39 eV per atom. The density is 6.98 g/cm3.


[2]
SrCrCd2Ir | PBE-GGA | relaxed

Structure (CIF):
```
data_SrCrCd2Ir
_chemical_formula_sum 'Sr1 Cr1 Cd2 Ir1'
_space_group_name_H-M_alt 'P 1'
_space_group_IT_number 1
_space_group_name_Hall 'P 1'
_cell_length_a 6.158
_cell_length_b 6.158
_cell_length_c 5.899
_cell_angle_alpha 90.00
_cell_angle_beta 90.00
_cell_angle_gamma 90.00
loop_
_atom_site_label
_atom_site_fract_x
_atom_site_fract_y
_atom_site_fract_z
Sr1 0.000 0.000 0.000
Cr1 0.000 0.000 0.500
Cd1 0.000 0.500 0.000
Cd2 0.500 0.000 0.000
Ir1 0.500 0.500 0.500
```

Calculated values
As for the formation energy: 2.10 eV per atom. The density is 4.13 g/cm3.


[3]
KCr2Cd | PBE-GGA | relaxed

Structure (CIF):
```
data_KCr2Cd
_chemical_formula_sum 'K1 Cr2 Cd1'
_space_group_name_H-M_alt 'P 1'
_space_group_IT_number 1
_space_group_name_Hall 'P 1'
_cell_length_a 6.487
_cell_length_b 6.487
_cell_length_c 6.487
_cell_angle_alpha 151.25
_cell_angle_beta 127.28
_cell_angle_gamma 61.15
loop_
_atom_site_label
_atom_site_fract_x
_atom_site_fract_y
_atom_site_fract_z
K1 0.000 0.000 0.000
Cr1 0.284 0.784 0.500
Cr2 0.716 0.216 0.500
Cd1 0.500 0.500 0.000
```

Calculated values
As for the formation energy: 0.99 eV per atom. The density is 4.09 g/cm3.


[4]
KCrCd2 | PBE-GGA | relaxed

Structure (CIF):
```
data_KCrCd2
_chemical_formula_sum 'K2 Cr2 Cd4'
_space_group_name_H-M_alt 'P 1'
_space_group_IT_number 1
_space_group_name_Hall 'P 1'
_cell_length_a 10.493
_cell_length_b 10.493
_cell_length_c 10.493
_cell_angle_alpha 149.33
_cell_angle_beta 149.33
_cell_angle_gamma 43.93
loop_
_atom_site_label
_atom_site_fract_x
_atom_site_fract_y
_atom_site_fract_z
K1 0.000 0.000 0.000
K2 0.750 0.250 0.500
Cr1 0.250 0.750 0.500
Cr2 0.500 0.500 0.000
Cd1 0.338 0.625 0.213
Cd2 0.375 0.588 0.713
Cd3 0.412 0.125 0.787
Cd4 0.875 0.662 0.287
```

Calculated values
As for the formation energy: 0.53 eV per atom. The calculation puts the energy above the lowest structure with this stoichiometry at 194 meV/atom. The density is 3.50 g/cm3.